{"formula": "YTm2Tl2", "functional": "PBE-GGA", "state": "optimized geometry", "delta_e_f_kj_per_mol_atoms": -26.5, "density_g_cm3": 10.00, "spacegroup": "P2_1/m (11)", "lattice": [[3.744, 0.000, 0.000], [0.000, 5.347, 0.000], [-1.878, 0.000, 13.859]], "species": ["Y", "Y", "Tm", "Tm", "Tm", "Tm", "Tl", "Tl", "Tl", "Tl"], "frac_coords": [[0.148, 0.250, 0.299], [0.852, 0.750, 0.701], [0.049, 0.750, 0.099], [0.238, 0.750, 0.476], [0.762, 0.250, 0.524], [0.951, 0.250, 0.901], [0.356, 0.250, 0.710], [0.451, 0.750, 0.904], [0.549, 0.250, 0.096], [0.644, 0.750, 0.290]]}

***

{"formula": "Y12TmTl3", "functional": "PBE-GGA", "state": "optimized geometry", "delta_e_f_kj_per_mol_atoms": -13.0, "density_g_cm3": 6.46, "spacegroup": "P4/mmm (123)", "lattice": [[4.885, 0.000, 0.000], [0.000, 4.885, 0.000], [0.000, 0.000, 19.915]], "species": ["Y", "Y", "Y", "Y", "Y", "Y", "Y", "Y", "Y", "Y", "Y", "Y", "Tm", "Tl", "Tl", "Tl"], "frac_coords": [[0.000, 0.000, 0.000], [0.000, 0.000, 0.245], [0.000, 0.000, 0.500], [0.000, 0.000, 0.755], [0.000, 0.500, 0.123], [0.000, 0.500, 0.370], [0.000, 0.500, 0.630], [0.000, 0.500, 0.877], [0.500, 0.000, 0.123], [0.500, 0.000, 0.370], [0.500, 0.000, 0.630], [0.500, 0.000, 0.877], [0.500, 0.500, 0.500], [0.500, 0.500, 0.000], [0.500, 0.500, 0.244], [0.500, 0.500, 0.756]]}

***

{"formula": "YTmTl3", "functional": "PBE-GGA", "state": "optimized geometry", "delta_e_f_kj_per_mol_atoms": -3.2, "density_g_cm3": 9.65, "spacegroup": "P6_3/mmc (194)", "lattice": [[7.365, 0.000, 0.000], [-3.682, 6.378, 0.000], [0.000, 0.000, 6.377]], "species": ["Y", "Y", "Tm", "Tm", "Tl", "Tl", "Tl", "Tl", "Tl", "Tl"], "frac_coords": [[0.333, 0.667, 0.250], [0.667, 0.333, 0.750], [0.000, 0.000, 0.000], [0.000, 0.000, 0.500], [0.199, 0.398, 0.750], [0.199, 0.801, 0.750], [0.398, 0.199, 0.250], [0.602, 0.801, 0.750], [0.801, 0.199, 0.250], [0.801, 0.602, 0.250]]}

***

{"formula": "YTm2Tl", "functional": "PBE-GGA", "state": "optimized geometry", "delta_e_f_kj_per_mol_atoms": -16.3, "e_above_lowest_polymorph_mev_per_atom": 0, "density_g_cm3": 9.37, "spacegroup": "P4/mmm (123)", "lattice": [[4.816, 0.000, 0.000], [0.000, 4.816, 0.000], [0.000, 0.000, 4.820]], "species": ["Y", "Tm", "Tm", "Tl"], "frac_coords": [[0.000, 0.000, 0.000], [0.000, 0.500, 0.500], [0.500, 0.000, 0.500], [0.500, 0.500, 0.000]]}

***

| no. | electronic total energy (Ha/atom) | density of states at the Fermi level (states/eV per cell) | magnetic moment (μB/f.u.) |
| --- | --- | --- | --- |
| 1 | -0.158 | 9.5 | 0.0 |
| 2 | -0.210 | 21.4 | 2.4 |
| 3 | -0.134 | 7.0 | 0.0 |
| 4 | -0.170 | 4.9 | 0.9 |